No. 1
VASP calculation (PBE) on crystalline Ti2SiO at its relaxed geometry.

Results
E above lowest polymorph ... 0.652 eV/atom
Formation energy from raw total energies ... -0.606 eV/atom

Cell: 4.2396 4.2396 4.2396 Å, 60.00 60.00 60.00°
Last column: magnetic moment on the atom in μB.
Element x y z (fractional)
Si  0.5000  0.5000  0.5000  -0.01
Ti  0.2500  0.2500  0.2500  0.47
Ti  0.7500  0.7500  0.7500  0.47
O  0.0000  0.0000  0.0000  -0.03

No. 2
VASP calculation (PBE) on crystalline Ti2Si2O at its relaxed geometry.

Results
E above lowest polymorph ... 0.035 eV/atom
Formation energy from raw total energies ... -0.177 eV/atom

Cell: 5.0664 5.0664 4.7577 Å, 57.83 57.83 90.00°
Element x y z (fractional)
Si  0.7143  0.7143  0.5714
Si  0.2857  0.2857  0.4286
Ti  0.7500  0.2500  0.5000
Ti  0.2500  0.7500  0.5000
O  0.0000  0.0000  0.0000

No. 3
VASP calculation (PBE) on crystalline Ti4SiO at its relaxed geometry.

Results
Formation energy from raw total energies ... -0.857 eV/atom

Cell: 6.2740 6.2740 6.2740 Å, 107.31 107.31 113.88°
Element x y z (fractional)
Ti  0.8481  0.0339  0.8142
Ti  0.7839  0.4697  0.6858
Ti  0.2566  0.4649  0.7917
Ti  0.6733  0.4649  0.2083
Ti  0.2149  0.5066  0.2917
Ti  0.2197  0.0339  0.1858
Ti  0.2149  0.9233  0.7083
Ti  0.7839  0.0981  0.3142
Si  0.7370  0.7370  0.0000
Si  0.4870  0.9870  0.5000
O  0.0153  0.5153  0.5000
O  0.2653  0.2653  0.0000